Here is an optimized crystal structure of BaTeBr from Alexandria via LeMat-Bulk. Energies are from GGA-PBE.

Output
Density of states at the Fermi level ... 4.05 states/eV per cell
Relative energy among the computed polymorphs ... 0.610 eV per atom
Mass density ... 4.32 g/cm³
ΔE_f (raw) ... -1037 meV/atom
Volume ... 132.4 Å³/cell

Unit cell a=5.722 b=5.722 c=5.722 alpha=60.00 beta=60.00 gamma=60.00
Each line ends with the local moment (μB).
Positions (direct):
Te 0.750 0.750 0.750  0.36
Ba 0.000 0.000 0.000  0.03
Br 0.500 0.500 0.500  0.23